This record from the Alexandria database describes a relaxed MgTa2Ni crystal. The functional is PBE-GGA.

```
MgTa2Ni
1.0
4.563 0.000 0.000
2.282 3.952 0.000
2.282 1.317 3.726
Mg Ta Ni
1 2 1
Direct
0.500 0.500 0.500
0.250 0.250 0.250
0.000 0.000 0.000
0.750 0.750 0.750
```

Calculated values
DOS(E_F) in states/eV/cell: 6.43
ΔE_f in eV/f.u.: 1.562
Calculated density in kg/m3: 10995
V in Å³ per cell: 67.2